# PBE ZrIn2HgI6, optimized geometry
# E_form (uncorrected) = -0.627 eV per atom
# Density = 4.4 g/cm3
# Magnetic moment = 0.000 Bohr magnetons per cell
# Calculated total energy = -29.90 eV/f.u.
data_ZrIn2HgI6
_chemical_formula_sum 'Zr1 In2 Hg1 I6'
_cell_length_a 8.298
_cell_length_b 8.318
_cell_length_c 9.329
_cell_angle_alpha 63.63
_cell_angle_beta 63.64
_cell_angle_gamma 60.23
_symmetry_space_group_name_H-M 'P 1'
_symmetry_Int_Tables_number 1
loop_
_symmetry_equiv_pos_as_xyz
'x,y,z'
loop_
_atom_site_label
_atom_site_fract_x
_atom_site_fract_y
_atom_site_fract_z
_atom_site_occupancy
Zr1 0.000 0.000 0.000 1
In1 0.344 0.346 0.967 1
In2 0.825 0.828 0.519 1
Hg1 0.495 0.495 0.515 1
I1 0.035 0.800 0.800 1
I2 0.187 0.629 0.218 1
I3 0.368 0.034 0.802 1
I4 0.628 0.965 0.216 1
I5 0.800 0.366 0.800 1
I6 0.965 0.189 0.218 1